A plane-wave DFT calculation with GGA-PBE was carried out for a relaxed structure of SrTaNi2.

Unit cell a=4.0137 b=3.3637 c=6.2102 alpha=74.15 beta=90.00 gamma=90.00
Closest atoms and distances in Å follow each position.
Atoms (fractional coordinates):
Ni (0.0000, 0.2122, 0.9502)  2 Ni 2.49, 4 Ta 2.63
Ni (0.5000, 0.0888, 0.1971)  2 Ta 2.42, 2 Ni 2.49
Sr (0.0000, 0.4636, 0.4468)  5 Ni 3.01, 2 Sr 3.36
Ta (0.5000, 0.7354, 0.9059)  6 Ni 2.42-2.63

## Properties
**Formation enthalpy at 0 K**: 204 meV/atom
**Relative energy among the computed polymorphs**: 223.2 meV per atom



A plane-wave DFT calculation with GGA-PBE was carried out for a relaxed structure of HPt2Au.

Unit cell a=2.8554 b=2.8554 c=7.6378 alpha=79.23 beta=79.23 gamma=60.00
Closest atoms and distances in Å follow each position.
Atoms (fractional coordinates):
H (0.6814, 0.6814, 0.9559)  3 Pt 1.86
Pt (0.0529, 0.0529, 0.8414)  3 H 1.86
Pt (0.2697, 0.2697, 0.1908)  3 H 2.41
Au (0.4960, 0.4960, 0.5119)  6 Au 2.86, 6 Pt 2.91-2.96

## Properties
**Relative energy among the computed polymorphs**: 8.1 meV per atom



A plane-wave DFT calculation with GGA-PBE was carried out for a relaxed structure of YTa2Cd.

Unit cell a=2.9297 b=2.9297 c=9.7543 alpha=90.00 beta=90.00 gamma=90.00
Closest atoms and distances in Å follow each position.
Atoms (fractional coordinates):
Cd (0.5000, 0.5000, 0.7500)  4 Cd 2.93, 8 Ta 3.11
Ta (0.0000, 0.0000, 0.9882)  4 Ta 2.93, 4 Cd 3.11
Ta (0.0000, 0.0000, 0.5118)  4 Ta 2.93, 4 Cd 3.11
Y (0.5000, 0.5000, 0.2500)  4 Y 2.93

## Properties
**Formation enthalpy at 0 K**: 410 meV/atom